Entry 1:
First-principles (PBE) data for an optimized crystal structure of Ga3PbS, as listed in Alexandria.

a b c (Å): 5.469 5.469 5.469
angles (deg): 90.00 90.00 90.00
Fractional coordinates of all 5 atoms:
Ga1 0.000 0.000 0.500
Ga2 0.000 0.500 0.000
Ga3 0.500 0.000 0.000
Pb1 0.000 0.000 0.000
S1 0.500 0.500 0.500

Calculated values
- N(E_F): 3.177 states/eV/cell
- Energy relative to the elements, uncorrected: 64.2 kJ per mole of atoms
- Total energy: -2.718 eV per atom
- Calculated density: 4.6 Mg/m³

---

Entry 2:
First-principles (PBE) data for an optimized crystal structure of Ga2PbS, as listed in Alexandria.

a b c (Å): 7.394 7.394 7.394
angles (deg): 131.80 131.80 70.55
Fractional coordinates of all 8 atoms:
Ga1 0.093 0.625 0.968
Ga2 0.375 0.343 0.468
Ga3 0.657 0.125 0.032
Ga4 0.875 0.907 0.532
Pb1 0.250 0.750 0.500
Pb2 0.500 0.500 0.000
S1 0.000 0.000 0.000
S2 0.750 0.250 0.500

Calculated values
- N(E_F): 0.143 states/eV/cell
- Energy relative to the elements, uncorrected: -10.4 kJ per mole of atoms
- Total energy: -3.580 eV per atom
- Calculated density: 5.7 Mg/m³

---

Entry 3:
First-principles (PBE) data for an optimized crystal structure of GaPbS3, as listed in Alexandria.

a b c (Å): 7.885 7.439 10.483
angles (deg): 90.00 120.92 90.00
Fractional coordinates of all 20 atoms:
Ga1 0.112 0.157 0.093
Ga2 0.112 0.343 0.593
Ga3 0.888 0.657 0.407
Ga4 0.888 0.843 0.907
Pb1 0.325 0.729 0.811
Pb2 0.325 0.771 0.311
Pb3 0.675 0.229 0.689
Pb4 0.675 0.271 0.189
S1 0.086 0.045 0.876
S2 0.086 0.455 0.376
S3 0.099 0.596 0.004
S4 0.099 0.904 0.504
S5 0.417 0.152 0.292
S6 0.417 0.348 0.792
S7 0.583 0.652 0.208
S8 0.583 0.848 0.708
S9 0.901 0.096 0.496
S10 0.901 0.404 0.996
S11 0.914 0.545 0.624
S12 0.914 0.955 0.124

Calculated values
- N(E_F): 0.000 states/eV/cell
- Energy relative to the elements, uncorrected: -45.4 kJ per mole of atoms
- Total energy: -4.294 eV per atom
- Calculated density: 4.7 Mg/m³